Entry from Alexandria via LeMat-Bulk: a relaxed TbPm2Sm2Ho4 crystal (PBE).

Geometry as CIF:
```
data_TbPm2Sm2Ho4
_symmetry_space_group_name_H-M 'C 1 2/m 1'
_symmetry_Int_Tables_number 12
_symmetry_space_group_name_Hall '-C 2y'
_cell_length_a 18.741
_cell_length_b 3.611
_cell_length_c 9.602
_cell_angle_alpha 90.00
_cell_angle_beta 115.75
_cell_angle_gamma 90.00
loop_
_atom_site_label
_atom_site_fract_x
_atom_site_fract_y
_atom_site_fract_z
Tb1 0.000 0.000 0.000
Pm1 0.166 0.500 0.001
Sm1 0.147 0.000 0.663
Ho1 0.019 0.500 0.333
Ho2 0.185 0.000 0.335
```

***

Entry from Alexandria via LeMat-Bulk: a relaxed Tb2Pm3Sm6Ho crystal (PBE).

Geometry as CIF:
```
data_Tb2Pm3Sm6Ho
_symmetry_space_group_name_H-M 'C 1 2/m 1'
_symmetry_Int_Tables_number 12
_symmetry_space_group_name_Hall '-C 2y'
_cell_length_a 6.263
_cell_length_b 10.845
_cell_length_c 11.976
_cell_angle_alpha 90.00
_cell_angle_beta 100.04
_cell_angle_gamma 90.00
loop_
_atom_site_label
_atom_site_fract_x
_atom_site_fract_y
_atom_site_fract_z
Tb1 0.000 0.167 0.000
Pm1 0.000 0.000 0.500
Pm2 0.000 0.333 0.500
Sm1 0.249 0.333 0.247
Sm2 0.250 0.000 0.247
Ho1 0.000 0.500 0.000
```

***

Entry from Alexandria via LeMat-Bulk: a relaxed TbPmSm4Ho2 crystal (PBE).

Geometry as CIF:
```
data_TbPmSm4Ho2
_symmetry_space_group_name_H-M 'P 1 2/m 1'
_symmetry_Int_Tables_number 10
_symmetry_space_group_name_Hall '-P 2y'
_cell_length_a 6.222
_cell_length_b 3.601
_cell_length_c 11.920
_cell_angle_alpha 90.00
_cell_angle_beta 100.13
_cell_angle_gamma 90.00
loop_
_atom_site_label
_atom_site_fract_x
_atom_site_fract_y
_atom_site_fract_z
Tb1 0.000 0.000 0.000
Pm1 0.000 0.500 0.500
Sm1 0.250 0.500 0.249
Sm2 0.251 0.000 0.752
Ho1 0.500 0.000 0.500
Ho2 0.500 0.500 0.000
```

***

Entry from Alexandria via LeMat-Bulk: a relaxed Tb4PmSmHo2 crystal (PBE).

Geometry as CIF:
```
data_Tb4PmSmHo2
_symmetry_space_group_name_H-M 'P m m m'
_symmetry_Int_Tables_number 47
_symmetry_space_group_name_Hall '-P 2 2'
_cell_length_a 5.045
_cell_length_b 5.056
_cell_length_c 10.084
_cell_angle_alpha 90.00
_cell_angle_beta 90.00
_cell_angle_gamma 90.00
loop_
_atom_site_label
_atom_site_fract_x
_atom_site_fract_y
_atom_site_fract_z
Tb1 0.000 0.000 0.249
Tb2 0.500 0.500 0.250
Pm1 0.500 0.000 0.500
Sm1 0.000 0.500 0.000
Ho1 0.000 0.500 0.500
Ho2 0.500 0.000 0.000
```

***

Entry from Alexandria via LeMat-Bulk: a relaxed Tb4Pm2SmHo2 crystal (PBE).

Geometry as CIF:
```
data_Tb4Pm2SmHo2
_symmetry_space_group_name_H-M 'C 1 2/m 1'
_symmetry_Int_Tables_number 12
_symmetry_space_group_name_Hall '-C 2y'
_cell_length_a 18.731
_cell_length_b 3.613
_cell_length_c 9.605
_cell_angle_alpha 90.00
_cell_angle_beta 115.67
_cell_angle_gamma 90.00
loop_
_atom_site_label
_atom_site_fract_x
_atom_site_fract_y
_atom_site_fract_z
Tb1 0.019 0.000 0.332
Tb2 0.185 0.500 0.333
Pm1 0.148 0.500 0.667
Sm1 0.000 0.500 0.000
Ho1 0.167 0.000 0.002
```

***

Entry from Alexandria via LeMat-Bulk: a relaxed Tb3PmSm6Ho2 crystal (PBE).

Geometry as CIF:
```
data_Tb3PmSm6Ho2
_symmetry_space_group_name_H-M 'C 1 2/m 1'
_symmetry_Int_Tables_number 12
_symmetry_space_group_name_Hall '-C 2y'
_cell_length_a 6.231
_cell_length_b 10.789
_cell_length_c 11.900
_cell_angle_alpha 90.00
_cell_angle_beta 100.04
_cell_angle_gamma 90.00
loop_
_atom_site_label
_atom_site_fract_x
_atom_site_fract_y
_atom_site_fract_z
Tb1 0.000 0.000 0.000
Tb2 0.000 0.333 0.000
Pm1 0.000 0.500 0.500
Sm1 0.249 0.167 0.250
Sm2 0.250 0.000 0.750
Ho1 0.000 0.167 0.500
```

***

Entry from Alexandria via LeMat-Bulk: a relaxed TbPm2SmHo crystal (PBE).

Geometry as CIF:
```
data_TbPm2SmHo
_symmetry_space_group_name_H-M 'C m c m'
_symmetry_Int_Tables_number 63
_symmetry_space_group_name_Hall '-C 2c 2'
_cell_length_a 8.417
_cell_length_b 11.625
_cell_length_c 7.244
_cell_angle_alpha 90.00
_cell_angle_beta 90.00
_cell_angle_gamma 90.00
loop_
_atom_site_label
_atom_site_fract_x
_atom_site_fract_y
_atom_site_fract_z
Tb1 0.000 0.012 0.250
Pm1 0.191 0.500 0.000
Sm1 0.000 0.277 0.250
Ho1 0.000 0.267 0.750
```

***

Entry from Alexandria via LeMat-Bulk: a relaxed TbPm4SmHo2 crystal (PBE).

Geometry as CIF:
```
data_TbPm4SmHo2
_symmetry_space_group_name_H-M 'P 1 2/m 1'
_symmetry_Int_Tables_number 10
_symmetry_space_group_name_Hall '-P 2y'
_cell_length_a 6.241
_cell_length_b 3.613
_cell_length_c 11.920
_cell_angle_alpha 90.00
_cell_angle_beta 100.19
_cell_angle_gamma 90.00
loop_
_atom_site_label
_atom_site_fract_x
_atom_site_fract_y
_atom_site_fract_z
Tb1 0.000 0.000 0.000
Pm1 0.250 0.500 0.250
Pm2 0.251 0.000 0.752
Sm1 0.000 0.500 0.500
Ho1 0.500 0.000 0.500
Ho2 0.500 0.500 0.000
```

***

Entry from Alexandria via LeMat-Bulk: a relaxed Tb2PmSm6Ho3 crystal (PBE).

Geometry as CIF:
```
data_Tb2PmSm6Ho3
_symmetry_space_group_name_H-M 'C 1 2/m 1'
_symmetry_Int_Tables_number 12
_symmetry_space_group_name_Hall '-C 2y'
_cell_length_a 6.229
_cell_length_b 10.785
_cell_length_c 11.874
_cell_angle_alpha 90.00
_cell_angle_beta 100.04
_cell_angle_gamma 90.00
loop_
_atom_site_label
_atom_site_fract_x
_atom_site_fract_y
_atom_site_fract_z
Tb1 0.000 0.167 0.000
Pm1 0.000 0.500 0.000
Sm1 0.249 0.167 0.748
Sm2 0.249 0.500 0.748
Ho1 0.000 0.000 0.500
Ho2 0.000 0.333 0.500
```

***

Entry from Alexandria via LeMat-Bulk: a relaxed TbPm2Sm2Ho crystal (PBE).

Geometry as CIF:
```
data_TbPm2Sm2Ho
_symmetry_space_group_name_H-M 'P m m a'
_symmetry_Int_Tables_number 51
_symmetry_space_group_name_Hall '-P 2a 2a'
_cell_length_a 7.055
_cell_length_b 5.692
_cell_length_c 9.862
_cell_angle_alpha 90.00
_cell_angle_beta 90.00
_cell_angle_gamma 90.00
loop_
_atom_site_label
_atom_site_fract_x
_atom_site_fract_y
_atom_site_fract_z
Tb1 0.000 0.000 0.000
Pm1 0.250 0.000 0.339
Pm2 0.250 0.500 0.829
Sm1 0.000 0.500 0.500
Sm2 0.250 0.000 0.675
Ho1 0.250 0.500 0.161
```

***

Across the entries above, E_tot takes the values -4.65; -4.69; -4.66; -4.63; -4.65; -4.66; -4.28; -4.67; -4.66; -4.63 eV/atom, respectively.
Across the entries above, formation energy takes the values 0.00; 0.01; 0.02; 0.02; 0.01; 0.01; 0.40; 0.02; 0.01; 0.06 eV/atom, respectively.